No. 1
The following is a PBEsol calculation of a geometry-optimized MgGe2Bi2 structure, from Alexandria.

space group	No. 139
magnetic moment	0.000	μB/atom

a b c (Å): 5.6568 5.6568 5.6568
angles (deg): 118.89 118.89 91.93
Sites, in units of the cell vectors:
Mg (0.0000, 0.0000, 0.0000)
Ge (0.3421, 0.3421, 0.0000)
Ge (0.6579, 0.6579, 0.0000)
Bi (0.2500, 0.7500, 0.5000)
Bi (0.7500, 0.2500, 0.5000)

***

No. 2
The following is a PBEsol calculation of a geometry-optimized MgGeBi3 structure, from Alexandria.

space group	No. 221
magnetic moment	0.000	μB/atom
relative energy among the computed polymorphs	139.3	meV per atom

a b c (Å): 5.4012 5.4012 5.4012
angles (deg): 90.00 90.00 90.00
Sites, in units of the cell vectors:
Mg (0.0000, 0.0000, 0.0000)
Ge (0.5000, 0.5000, 0.5000)
Bi (0.0000, 0.0000, 0.5000)
Bi (0.0000, 0.5000, 0.0000)
Bi (0.5000, 0.0000, 0.0000)

***

The ΔE_f results, record by record, are as follows: 2.9 15.8 kcal/mol of atoms.